No. 1
VASP calculation (SCAN) on a crystal of SrBiO3 relaxed with PBEsol.

Symmetry   P2_1/c, No. 14
Formation energy (no corrections)   -185.3 kJ per mole of atoms
V   309.0 Å³ per cell

Geometry as extended XYZ:
```
20
Lattice="5.937 0.000 0.000 0.000 6.133 0.000 -5.927 0.000 8.486" Properties=species:S:1:pos:R:3 pbc="T T T"
Sr -0.090 0.319 2.128
Sr -3.054 2.747 6.371
Sr 3.063 3.386 2.115
Sr 0.100 5.814 6.359
Bi -2.964 0.000 4.243
Bi 0.000 3.067 0.000
Bi 2.968 0.000 0.000
Bi 0.005 3.067 4.243
O -4.799 1.308 7.968
O -1.835 1.758 3.725
O -4.211 4.262 8.018
O -1.247 4.938 3.774
O -2.315 0.273 6.275
O 0.648 2.794 2.032
O -0.639 3.340 6.454
O 2.325 5.860 2.211
O 1.256 1.195 4.712
O 4.220 1.871 0.469
O 1.844 4.375 4.762
O 4.808 4.825 0.518
```

No. 2
VASP calculation (SCAN) on a crystal of ReTeMo4 relaxed with PBEsol.

Symmetry   F-43m, No. 216
Formation energy (no corrections)   64.6 kJ per mole of atoms
V   98.2 Å³ per cell

Geometry as extended XYZ:
```
6
Lattice="0.000 3.662 3.662 3.662 0.000 3.662 3.662 3.662 0.000" Properties=species:S:1:pos:R:3 pbc="T T T"
Re 0.000 0.000 0.000
Te 1.831 1.831 1.831
Mo 4.571 2.752 2.752
Mo 2.752 4.571 2.752
Mo 2.752 2.752 4.571
Mo 4.571 4.571 4.571
```

No. 3
VASP calculation (SCAN) on a crystal of BaSr2Li relaxed with PBEsol.

Symmetry   Pmmm, No. 47
DFT formation energy   0.01 eV/atom
Offset from the most stable computed form   0.01 eV per formula unit
V   185.1 Å³ per cell

Geometry as extended XYZ:
```
4
Lattice="4.240 0.000 0.000 0.000 4.259 0.000 0.000 0.000 10.252" Properties=species:S:1:pos:R:3 pbc="T T T"
Ba 0.000 0.000 0.000
Sr 2.120 2.129 3.102
Sr 2.120 2.129 7.150
Li 0.000 0.000 5.126
```

No. 4
VASP calculation (SCAN) on a crystal of MgTiReGe2 relaxed with PBEsol.

Symmetry   P4/mmm, No. 123
DFT formation energy   1.72 eV/atom
V   100.0 Å³ per cell

Geometry as extended XYZ:
```
5
Lattice="4.606 0.000 0.000 0.000 4.606 0.000 0.000 0.000 4.716" Properties=species:S:1:pos:R:3 pbc="T T T"
Mg 0.000 0.000 0.000
Ti 0.000 0.000 2.358
Re 2.303 2.303 2.358
Ge 0.000 2.303 0.000
Ge 2.303 0.000 0.000
```

No. 5
VASP calculation (SCAN) on a crystal of La2YAg relaxed with PBEsol.

Symmetry   P4mm, No. 99
DFT formation energy   -0.16 eV/atom
Offset from the most stable computed form   0.00 eV per formula unit
V   114.7 Å³ per cell

Geometry as extended XYZ:
```
4
Lattice="3.645 0.000 0.000 0.000 3.645 0.000 0.000 0.000 8.633" Properties=species:S:1:pos:R:3 pbc="T T T"
La 0.000 0.000 0.000
La 1.823 1.823 2.516
Y 0.000 0.000 4.990
Ag 1.823 1.823 6.628
```

No. 6
VASP calculation (SCAN) on a crystal of KLaSb2 relaxed with PBEsol.

Symmetry   P4/mmm, No. 123
Formation energy (no corrections)   -81.9 kJ per mole of atoms
Offset from the most stable computed form   0.00 eV per formula unit
V   133.1 Å³ per cell

Geometry as extended XYZ:
```
4
Lattice="4.261 0.000 0.000 0.000 4.261 0.000 0.000 0.000 7.332" Properties=species:S:1:pos:R:3 pbc="T T T"
K 0.000 0.000 0.000
La 0.000 0.000 3.666
Sb 2.131 2.131 2.220
Sb 2.131 2.131 5.112
```

No. 7
VASP calculation (SCAN) on a crystal of LiTa2Al relaxed with PBEsol.

Symmetry   I-42d, No. 122
DFT formation energy   0.62 eV/atom
Offset from the most stable computed form   2.03 eV per formula unit
V   131.7 Å³ per cell

Geometry as extended XYZ:
```
8
Lattice="-3.564 3.564 2.592 3.564 -3.564 2.592 3.564 3.564 -2.592" Properties=species:S:1:pos:R:3 pbc="T T T"
Li 0.000 0.000 0.000
Li 0.000 3.564 1.296
Ta 1.782 1.705 -0.648
Ta 1.859 -1.782 3.240
Ta 1.782 1.859 1.944
Ta 1.705 5.345 0.648
Al 3.564 0.000 1.296
Al 0.000 0.000 2.592
```

No. 8
VASP calculation (SCAN) on a crystal of MgTeCl2 relaxed with PBEsol.

Symmetry   F-43m, No. 216
Formation energy (no corrections)   -32.5 kJ per mole of atoms
Offset from the most stable computed form   1.96 eV per formula unit
V   88.2 Å³ per cell

Geometry as extended XYZ:
```
4
Lattice="0.000 3.533 3.533 3.533 0.000 3.533 3.533 3.533 0.000" Properties=species:S:1:pos:R:3 pbc="T T T"
Mg 0.000 0.000 0.000
Te 1.767 1.767 1.767
Cl 3.533 3.533 3.533
Cl 5.300 5.300 5.300
```

No. 9
VASP calculation (SCAN) on a crystal of CePbAu2 relaxed with PBEsol.

Symmetry   Fm-3m, No. 225
DFT formation energy   -0.69 eV/atom
V   89.1 Å³ per cell

Geometry as extended XYZ:
```
4
Lattice="0.000 3.546 3.546 3.546 0.000 3.546 3.546 3.546 0.000" Properties=species:S:1:pos:R:3 pbc="T T T"
Ce 0.000 0.000 0.000
Pb 3.546 3.546 3.546
Au 1.773 1.773 1.773
Au 5.318 5.318 5.318
```

No. 10
VASP calculation (SCAN) on a crystal of ZnHg3 relaxed with PBEsol.

Symmetry   Pnma, No. 62
DFT formation energy   0.07 eV/atom
Offset from the most stable computed form   0.00 eV per formula unit
V   344.4 Å³ per cell

Geometry as extended XYZ:
```
16
Lattice="6.796 0.000 0.000 0.000 7.896 0.000 0.000 0.000 6.419" Properties=species:S:1:pos:R:3 pbc="T T T"
Zn 0.896 1.974 0.401
Zn 2.502 5.922 3.610
Zn 4.294 1.974 2.808
Zn 5.900 5.922 6.017
Hg 0.026 5.922 2.323
Hg 1.395 4.359 5.574
Hg 1.395 7.485 5.574
Hg 2.003 0.411 2.365
Hg 2.003 3.537 2.365
Hg 3.372 1.974 5.532
Hg 3.424 5.922 0.887
Hg 4.793 4.359 4.054
Hg 4.793 7.485 4.054
Hg 5.401 0.411 0.845
Hg 5.401 3.537 0.845
Hg 6.770 1.974 4.096
```

No. 11
VASP calculation (SCAN) on a crystal of BaWCl relaxed with PBEsol.

Symmetry   F-43m, No. 216
Formation energy (no corrections)   103.8 kJ per mole of atoms
Offset from the most stable computed form   0.29 eV per formula unit
V   115.5 Å³ per cell

Geometry as extended XYZ:
```
3
Lattice="0.000 3.865 3.865 3.865 0.000 3.865 3.865 3.865 0.000" Properties=species:S:1:pos:R:3 pbc="T T T"
Ba 0.000 0.000 0.000
W 5.798 5.798 5.798
Cl 1.933 1.933 1.933
```

No. 12
VASP calculation (SCAN) on a crystal of Mn2CoAu relaxed with PBEsol.

Symmetry   P4mm, No. 99
DFT formation energy   0.06 eV/atom
Offset from the most stable computed form   1.73 eV per formula unit
V   49.6 Å³ per cell

Geometry as extended XYZ:
```
4
Lattice="2.964 0.000 0.000 0.000 2.964 0.000 0.000 0.000 5.644" Properties=species:S:1:pos:R:3 pbc="T T T"
Mn 0.000 0.000 0.000
Mn 1.482 1.482 1.237
Co 1.482 1.482 4.527
Au 0.000 0.000 2.888
```

Question: Which of these has the highest V?
Answer: ZnHg3

Please write out number 6 again, unchanged.
VASP calculation (SCAN) on a crystal of KLaSb2 relaxed with PBEsol.

Symmetry   P4/mmm, No. 123
Formation energy (no corrections)   -81.9 kJ per mole of atoms
Offset from the most stable computed form   0.00 eV per formula unit
V   133.1 Å³ per cell

Geometry as extended XYZ:
```
4
Lattice="4.261 0.000 0.000 0.000 4.261 0.000 0.000 0.000 7.332" Properties=species:S:1:pos:R:3 pbc="T T T"
K 0.000 0.000 0.000
La 0.000 0.000 3.666
Sb 2.131 2.131 2.220
Sb 2.131 2.131 5.112
```

Question: Which formula does entry 3 have?
Answer: BaSr2Li

Question: What is the V in the seventh record?
Answer: 131.7 Å³ per cell